## SmUIr4 (PBE-GGA)

Data for a geometry-optimized SmUIr4 structure.

Values from the calculation:
- Crystal system: cubic
- Density of states at the Fermi level: 7.6 states/eV/cell
- Energy relative to the elements: -352 kJ/mol of formula units
- Total energy: -9.184 eV per atom

CIF file:
```
data_SmUIr4
_chemical_formula_sum 'Sm1 U1 Ir4'
_symmetry_space_group_name_H-M 'P 1'
_symmetry_Int_Tables_number 1
_cell_length_a 5.373
_cell_length_b 5.373
_cell_length_c 5.373
_cell_angle_alpha 60.00
_cell_angle_beta 60.00
_cell_angle_gamma 60.00
loop_
_symmetry_equiv_pos_as_xyz
'x,y,z'
loop_
_atom_site_label
_atom_site_type_symbol
_atom_site_fract_x
_atom_site_fract_y
_atom_site_fract_z
_atom_site_occupancy
Ir1 Ir 0.625 0.125 0.625 1
Ir2 Ir 0.625 0.625 0.125 1
Ir3 Ir 0.125 0.625 0.625 1
Ir4 Ir 0.625 0.625 0.625 1
U1 U 0.250 0.250 0.250 1
Sm1 Sm 0.000 0.000 0.000 1
```